No. 1
Here is a relaxed Tb2GaSiGe crystal from the Alexandria database. Energies are from GGA-PBE.

Structure (CIF):
```
data_Tb2GaSiGe
_chemical_formula_sum 'Tb4 Ga2 Si2 Ge2'
_cell_length_a 4.020
_cell_length_b 7.179
_cell_length_c 8.547
_cell_angle_alpha 108.99
_cell_angle_beta 90.00
_cell_angle_gamma 90.00
_symmetry_space_group_name_H-M 'P 1'
_symmetry_Int_Tables_number 1
loop_
_symmetry_equiv_pos_as_xyz
'x,y,z'
loop_
_atom_site_label
_atom_site_type_symbol
_atom_site_fract_x
_atom_site_fract_y
_atom_site_fract_z
Ge1 Ge 0.750 0.145 0.169
Ge2 Ge 0.250 0.855 0.831
Tb1 Tb 0.750 0.832 0.587
Tb2 Tb 0.250 0.263 0.968
Tb3 Tb 0.250 0.168 0.413
Tb4 Tb 0.750 0.737 0.032
Ga1 Ga 0.250 0.506 0.728
Ga2 Ga 0.750 0.494 0.272
Si1 Si 0.750 0.287 0.705
Si2 Si 0.250 0.713 0.295
```

No. 2
Here is a relaxed TiGaSiGe2 crystal from the Alexandria database. Energies are from GGA-PBE.

Structure (CIF):
```
data_TiGaSiGe2
_chemical_formula_sum 'Ti1 Ga1 Si1 Ge2'
_cell_length_a 4.843
_cell_length_b 4.645
_cell_length_c 4.843
_cell_angle_alpha 90.00
_cell_angle_beta 90.00
_cell_angle_gamma 90.00
_symmetry_space_group_name_H-M 'P 1'
_symmetry_Int_Tables_number 1
loop_
_symmetry_equiv_pos_as_xyz
'x,y,z'
loop_
_atom_site_label
_atom_site_type_symbol
_atom_site_fract_x
_atom_site_fract_y
_atom_site_fract_z
Ge1 Ge 0.000 0.000 0.500
Ge2 Ge 0.500 0.000 0.000
Si1 Si 0.000 0.500 0.000
Ga1 Ga 0.000 0.000 0.000
Ti1 Ti 0.500 0.500 0.500
```

No. 3
Here is a relaxed Tm2GaSiGe crystal from the Alexandria database. Energies are from GGA-PBE.

Structure (CIF):
```
data_Tm2GaSiGe
_chemical_formula_sum 'Tm4 Ga2 Si2 Ge2'
_cell_length_a 3.958
_cell_length_b 8.063
_cell_length_c 7.512
_cell_angle_alpha 117.95
_cell_angle_beta 90.00
_cell_angle_gamma 90.00
_symmetry_space_group_name_H-M 'P 1'
_symmetry_Int_Tables_number 1
loop_
_symmetry_equiv_pos_as_xyz
'x,y,z'
loop_
_atom_site_label
_atom_site_type_symbol
_atom_site_fract_x
_atom_site_fract_y
_atom_site_fract_z
Tm1 Tm 0.750 0.909 0.627
Tm2 Tm 0.250 0.091 0.373
Tm3 Tm 0.250 0.307 0.977
Tm4 Tm 0.750 0.693 0.023
Si1 Si 0.750 0.293 0.691
Si2 Si 0.250 0.707 0.309
Ge1 Ge 0.250 0.883 0.895
Ge2 Ge 0.750 0.117 0.105
Ga1 Ga 0.750 0.499 0.361
Ga2 Ga 0.250 0.501 0.639
```

No. 4
Here is a relaxed UGaSiGe crystal from the Alexandria database. Energies are from GGA-PBE.

Structure (CIF):
```
data_UGaSiGe
_chemical_formula_sum 'U1 Ga1 Si1 Ge1'
_cell_length_a 3.996
_cell_length_b 4.201
_cell_length_c 4.267
_cell_angle_alpha 90.00
_cell_angle_beta 90.00
_cell_angle_gamma 90.00
_symmetry_space_group_name_H-M 'P 1'
_symmetry_Int_Tables_number 1
loop_
_symmetry_equiv_pos_as_xyz
'x,y,z'
loop_
_atom_site_label
_atom_site_type_symbol
_atom_site_fract_x
_atom_site_fract_y
_atom_site_fract_z
Ge1 Ge 0.000 0.000 0.000
Ga1 Ga 0.500 0.500 0.000
Si1 Si 0.000 0.500 0.500
U1 U 0.500 0.000 0.500
```

No. 5
Here is a relaxed GaSi2GeW crystal from the Alexandria database. Energies are from GGA-PBE.

Structure (CIF):
```
data_GaSi2GeW
_chemical_formula_sum 'Ga1 Si2 Ge1 W1'
_cell_length_a 4.754
_cell_length_b 4.975
_cell_length_c 4.754
_cell_angle_alpha 90.00
_cell_angle_beta 90.00
_cell_angle_gamma 90.00
_symmetry_space_group_name_H-M 'P 1'
_symmetry_Int_Tables_number 1
loop_
_symmetry_equiv_pos_as_xyz
'x,y,z'
loop_
_atom_site_label
_atom_site_type_symbol
_atom_site_fract_x
_atom_site_fract_y
_atom_site_fract_z
Si1 Si 0.000 0.000 0.500
Si2 Si 0.500 0.000 0.000
Ga1 Ga 0.000 0.500 0.000
W1 W 0.000 0.000 0.000
Ge1 Ge 0.500 0.500 0.500
```

No. 6
Here is a relaxed Zn2GaSiGe crystal from the Alexandria database. Energies are from GGA-PBE.

Structure (CIF):
```
data_Zn2GaSiGe
_chemical_formula_sum 'Zn2 Ga1 Si1 Ge1'
_cell_length_a 4.671
_cell_length_b 4.920
_cell_length_c 4.671
_cell_angle_alpha 90.00
_cell_angle_beta 90.00
_cell_angle_gamma 90.00
_symmetry_space_group_name_H-M 'P 1'
_symmetry_Int_Tables_number 1
loop_
_symmetry_equiv_pos_as_xyz
'x,y,z'
loop_
_atom_site_label
_atom_site_type_symbol
_atom_site_fract_x
_atom_site_fract_y
_atom_site_fract_z
Zn1 Zn 0.500 0.000 0.000
Zn2 Zn 0.000 0.000 0.500
Ga1 Ga 0.000 0.500 0.000
Si1 Si 0.000 0.000 0.000
Ge1 Ge 0.500 0.500 0.500
```

Number 1: uncorrected energy -5.01 eV per atom, E_form (uncorrected) -0.54 eV/atom. Number 2: uncorrected energy -4.15 eV per atom, E_form (uncorrected) 0.97 eV/atom. Number 3: uncorrected energy -4.97 eV per atom, E_form (uncorrected) -0.57 eV/atom. Number 4: uncorrected energy -6.41 eV per atom, E_form (uncorrected) -0.32 eV/atom. Number 5: uncorrected energy -5.56 eV per atom, E_form (uncorrected) 0.73 eV/atom. Number 6: uncorrected energy -2.59 eV per atom, E_form (uncorrected) 0.54 eV/atom.